! ThP2Ru2 | Alexandria via LeMat-Bulk | PBE-GGA | relaxed; values from VASP
&SYSTEM
  ibrav = 0, nat = 20, ntyp = 3
/
ATOMIC_SPECIES
Th 232.04 Th.upf
P 30.97 P.upf
Ru 101.07 Ru.upf
ATOMIC_POSITIONS crystal
Th 0.250 0.267 0.669
Th 0.750 0.733 0.331
Th 0.250 0.767 0.831
Th 0.750 0.233 0.169
P 0.250 0.095 0.970
P 0.750 0.905 0.030
P 0.250 0.595 0.530
P 0.750 0.405 0.470
P 0.250 0.529 0.160
P 0.750 0.471 0.840
P 0.250 0.029 0.340
P 0.750 0.971 0.660
Ru 0.750 0.110 0.450
Ru 0.250 0.890 0.550
Ru 0.750 0.610 0.050
Ru 0.250 0.390 0.950
Ru 0.250 0.867 0.133
Ru 0.750 0.133 0.867
Ru 0.250 0.367 0.367
Ru 0.750 0.633 0.633
CELL_PARAMETERS angstrom
-2.723 3.147 -0.103
-5.705 -4.954 -0.583
-0.781 -0.334 10.494
! size of the total moment = 0.0 μB per formula unit
! VASP energy = -42.09 eV per formula unit
! DOS(E_F) = 0.0 states/eV/f.u.



! InCuI2N | Alexandria via LeMat-Bulk | PBE-GGA | relaxed; values from VASP
&SYSTEM
  ibrav = 0, nat = 5, ntyp = 4
/
ATOMIC_SPECIES
I 126.90 I.upf
N 14.01 N.upf
Cu 63.55 Cu.upf
In 114.82 In.upf
ATOMIC_POSITIONS crystal
I 0.000 0.500 0.000
I 0.500 0.000 0.000
N 0.000 0.000 0.500
Cu 0.000 0.000 0.000
In 0.500 0.500 0.500
CELL_PARAMETERS angstrom
6.035 0.000 0.000
0.000 6.035 0.000
0.000 0.000 3.724
! size of the total moment = 2.2 μB per formula unit
! offset from the most stable computed form = 0 meV per atom
! DOS(E_F) = 2.7 states/eV/f.u.
! formation energy without anion corrections = 0.495 eV/atom